DFT (PBE) results for an optimized crystal structure of Ti6AlGa2.

The value obtained for the density of states at the Fermi level is 24.010 states/eV per cell. Its space group is No. 71. The value obtained for the spin magnetization is 0.0 Bohr magnetons per cell. The energy of formation from the pure elements comes out at -0.241 eV per atom.

Lattice parameters (Å, degrees): 7.3992 7.3992 7.3992 101.63 114.87 112.20
Sites, in units of the cell vectors:
Ti 0.5019 0.7071 0.7948
Ti 0.4981 0.2929 0.2052
Ti 0.0877 0.2929 0.7948
Ti 0.9123 0.7071 0.2052
Ti 0.8077 0.7472 0.5549
Ti 0.1923 0.2528 0.4451
Ti 0.1923 0.7472 0.9394
Ti 0.8077 0.2528 0.0606
Ti 0.7211 0.3986 0.6774
Ti 0.2789 0.6014 0.3226
Ti 0.2789 0.9563 0.6774
Ti 0.7211 0.0437 0.3226
Al 0.0000 0.5000 0.5000
Al 0.0000 0.0000 0.0000
Ga 0.5000 0.3692 0.8692
Ga 0.5000 0.6308 0.1308
Ga 0.6604 0.0000 0.6604
Ga 0.3396 0.0000 0.3396